This record from Alexandria describes a geometry-optimized BaTlNi2O6 structure. The functional is PBE with a Hubbard U.

Space-group type: C2, No. 5
Uncorrected energy in eV per atom: -4.7174
DOS(E_F) in states/eV/f.u.: 2.78

Unit cell a=3.7019 b=3.7019 c=21.6353 alpha=88.19 beta=88.19 gamma=89.21
Site moments in Bohr magnetons follow the coordinates.
Element x y z (fractional)
1 O 0.7840 0.6623 0.1494  0.00
2 O 0.9818 0.7536 0.5657  -0.50
3 O 0.3377 0.2160 0.8506  0.00
4 O 0.8639 0.2410 0.7138  -0.41
5 Tl 0.8004 0.6795 0.0556  0.00
6 Ba 0.2752 0.1533 0.1974  0.01
7 O 0.4298 0.2616 0.5957  -0.14
8 O 0.7590 0.1361 0.2862  -0.41
9 O 0.2464 0.0182 0.4343  -0.50
10 O 0.7384 0.5702 0.4043  -0.14
11 Ba 0.8467 0.7248 0.8026  0.01
12 O 0.3649 0.7415 0.7106  -0.39
13 Ni 0.7541 0.6339 0.3133  1.45
14 Tl 0.3205 0.1996 0.9444  0.00
15 Ni 0.3661 0.2459 0.6867  1.45
16 O 0.2585 0.6351 0.2894  -0.39
17 Ni 0.4899 0.7642 0.5773  -1.49
18 O 0.8183 0.6964 0.9584  0.00
19 O 0.3036 0.1817 0.0416  0.00
20 Ni 0.2358 0.5101 0.4227  -1.49